! Cs5I4F PBE optimized geometry; values from VASP
! Spin magnetization, μB per formula unit: 0.0
! Energy above the lowest structure with this stoichiometry, kJ/mol of formula units: 84.4
! Space group: I4/mmm (139)
! Formation energy without anion corrections, eV per atom: -1.64
&SYSTEM
  ibrav = 0, nat = 10, ntyp = 3
/
ATOMIC_SPECIES
Cs 132.91 Cs.upf
I 126.90 I.upf
F 19.00 F.upf
CELL_PARAMETERS angstrom
0.430 -1.501 5.946
8.732 -3.789 1.589
3.492 7.584 4.839
ATOMIC_POSITIONS angstrom
Cs 9.337 4.826 6.891
Cs 2.381 4.761 4.201
Cs 10.272 -2.464 8.161
Cs 3.316 -2.529 5.470
Cs 0.215 -0.749 2.967
I 9.128 1.559 9.260
I 5.178 3.642 6.893
I 7.476 -1.345 5.468
I 3.526 0.738 3.102
F 0.430 -1.499 5.940